Entry 1:
An optimized crystal structure of PtS2BrN. Source: Alexandria, functional PBE.

a b c (Å): 5.0279 5.0279 3.6970
angles (deg): 90.00 90.00 90.00
Atoms (fractional coordinates):
S (0.0000, 0.5000, 0.0000)
S (0.5000, 0.0000, 0.0000)
Br (0.5000, 0.5000, 0.5000)
Pt (0.0000, 0.0000, 0.0000)
N (0.0000, 0.0000, 0.5000)

Computed properties:
- E: -0.2885 Ry per atom
- Uncorrected formation energy: 0.9339 eV/atom

Entry 2:
An optimized crystal structure of CdIn2Pt2. Source: Alexandria, functional PBE.

a b c (Å): 4.0680 4.0680 7.1684
angles (deg): 73.52 73.52 90.00
Atoms (fractional coordinates):
Cd (0.0000, 0.0000, 0.0000)
Pt (0.7500, 0.2500, 0.5000)
Pt (0.2500, 0.7500, 0.5000)
In (0.3882, 0.3882, 0.2235)
In (0.6118, 0.6118, 0.7765)

Computed properties:
- E: -0.2804 Ry per atom
- Energy relative to the elements: -0.60 eV per formula unit

Entry 3:
An optimized crystal structure of RbLiHf2. Source: Alexandria, functional PBE.

a b c (Å): 4.1497 4.1497 13.2783
angles (deg): 81.01 81.01 90.00
Atoms (fractional coordinates):
Hf (0.1354, 0.1250, 0.2500)
Hf (0.6146, 0.6250, 0.2500)
Hf (0.3750, 0.8646, 0.7500)
Hf (0.8750, 0.3854, 0.7500)
Rb (0.0000, 0.0000, 0.0000)
Rb (0.7500, 0.2500, 0.5000)
Li (0.5000, 0.5000, 0.0000)
Li (0.2500, 0.7500, 0.5000)

Computed properties:
- E: -0.3406 Ry per atom
- Energy relative to the elements: 4.25 eV per formula unit

Entry 4:
An optimized crystal structure of ReNiTe2. Source: Alexandria, functional PBE.

a b c (Å): 3.1950 3.1950 8.4002
angles (deg): 90.00 90.00 116.28
Atoms (fractional coordinates):
Ni (0.5000, 0.5000, 0.2500)
Re (0.5000, 0.5000, 0.7500)
Te (0.0000, 0.0000, 0.0086)
Te (0.0000, 0.0000, 0.4914)

Computed properties:
- E: -0.3856 Ry per atom
- Uncorrected formation energy: 0.8815 eV/atom

Entry 5:
An optimized crystal structure of La3Rh4Pb13. Source: Alexandria, functional PBE.

a b c (Å): 10.1731 10.1731 10.1731
angles (deg): 90.00 90.00 90.00
Atoms (fractional coordinates):
La (0.0000, 0.5000, 0.7500)
La (0.5000, 0.2500, 0.0000)
La (0.7500, 0.0000, 0.5000)
La (0.0000, 0.5000, 0.2500)
La (0.5000, 0.7500, 0.0000)
La (0.2500, 0.0000, 0.5000)
Rh (0.7500, 0.2500, 0.7500)
Rh (0.2500, 0.7500, 0.2500)
Rh (0.7500, 0.7500, 0.2500)
Rh (0.2500, 0.2500, 0.7500)
Rh (0.2500, 0.7500, 0.7500)
Rh (0.7500, 0.2500, 0.2500)
Rh (0.2500, 0.2500, 0.2500)
Rh (0.7500, 0.7500, 0.7500)
Pb (0.5000, 0.5000, 0.5000)
Pb (0.0000, 0.0000, 0.0000)
Pb (0.8066, 0.3451, 0.5000)
Pb (0.6549, 0.5000, 0.8066)
Pb (0.5000, 0.1934, 0.6549)
Pb (0.1934, 0.6549, 0.5000)
Pb (0.3451, 0.5000, 0.1934)
Pb (0.5000, 0.8066, 0.3451)
Pb (0.8066, 0.6549, 0.5000)
Pb (0.6549, 0.5000, 0.1934)
Pb (0.1934, 0.3451, 0.5000)
Pb (0.3451, 0.5000, 0.8066)
Pb (0.5000, 0.8066, 0.6549)
Pb (0.5000, 0.1934, 0.3451)
Pb (0.3066, 0.0000, 0.8451)
Pb (0.1549, 0.3066, 0.0000)
Pb (0.0000, 0.1549, 0.6934)
Pb (0.6934, 0.0000, 0.1549)
Pb (0.8451, 0.6934, 0.0000)
Pb (0.0000, 0.8451, 0.3066)
Pb (0.3066, 0.0000, 0.1549)
Pb (0.1549, 0.6934, 0.0000)
Pb (0.6934, 0.0000, 0.8451)
Pb (0.8451, 0.3066, 0.0000)
Pb (0.0000, 0.1549, 0.3066)
Pb (0.0000, 0.8451, 0.6934)

Computed properties:
- E: -0.3655 Ry per atom
- Energy relative to the elements: -7.05 eV per formula unit

Entry 6:
An optimized crystal structure of Tb2InAg3. Source: Alexandria, functional PBE.

a b c (Å): 3.7837 4.2906 9.5451
angles (deg): 102.99 101.43 90.00
Atoms (fractional coordinates):
Tb (0.1264, 0.1264, 0.2529)
Tb (0.8667, 0.3667, 0.7334)
In (0.4582, 0.9582, 0.9163)
Ag (0.6976, 0.6976, 0.3952)
Ag (0.5481, 0.5481, 0.0961)
Ag (0.3030, 0.8030, 0.6061)

Computed properties:
- E: -0.2670 Ry per atom
- Energy relative to the elements: -1.24 eV per formula unit

Entry 7:
An optimized crystal structure of TcSb2Au. Source: Alexandria, functional PBE.

a b c (Å): 4.9128 4.9128 4.9128
angles (deg): 60.00 60.00 60.00
Atoms (fractional coordinates):
Au (0.5000, 0.5000, 0.5000)
Sb (0.0000, 0.0000, 0.0000)
Sb (0.7500, 0.7500, 0.7500)
Tc (0.2500, 0.2500, 0.2500)

Computed properties:
- E: -0.3546 Ry per atom
- Uncorrected formation energy: 0.6471 eV/atom

Entry 8:
An optimized crystal structure of CeAl3Ga3. Source: Alexandria, functional PBE.

a b c (Å): 6.9808 6.9808 6.9808
angles (deg): 90.00 90.00 90.00
Atoms (fractional coordinates):
Ga (0.0000, 0.2500, 0.5000)
Ga (0.0000, 0.7500, 0.5000)
Ga (0.5000, 0.0000, 0.7500)
Ga (0.7500, 0.5000, 0.0000)
Ga (0.5000, 0.0000, 0.2500)
Ga (0.2500, 0.5000, 0.0000)
Ce (0.5000, 0.5000, 0.5000)
Ce (0.0000, 0.0000, 0.0000)
Al (0.2500, 0.0000, 0.5000)
Al (0.0000, 0.5000, 0.2500)
Al (0.5000, 0.7500, 0.0000)
Al (0.7500, 0.0000, 0.5000)
Al (0.0000, 0.5000, 0.7500)
Al (0.5000, 0.2500, 0.0000)

Computed properties:
- E: -0.2632 Ry per atom
- Energy relative to the elements: 1.17 eV per formula unit